No. 1
Computed, not measured: Tb4CdPd2 after structural relaxation at the GGA-PBE level of DFT.

total magnetic moment	0.00	μB/f.u.
crystal system	trigonal
total energy	-4.699	eV per atom

Cell: 4.7853 4.7853 10.0040 Å, 76.16 76.16 60.00°
Positions (direct):
Cd1 0.0000 0.0000 0.0000
Tb1 0.3861 0.3861 0.8417
Tb2 0.2028 0.2028 0.3915
Tb3 0.7972 0.7972 0.6085
Tb4 0.6139 0.6139 0.1583
Pd1 0.0993 0.0993 0.7020
Pd2 0.9007 0.9007 0.2980

No. 2
Computed, not measured: Tb5Cd2Pd12 after structural relaxation at the GGA-PBE level of DFT.

total magnetic moment	0.00	μB/f.u.
crystal system	monoclinic
total energy	-5.115	eV per atom

Cell: 5.5835 8.9539 9.6446 Å, 116.04 90.00 108.17°
Positions (direct):
Pd1 0.0896 0.6820 0.3931
Pd2 0.4075 0.3180 0.6069
Pd3 0.9456 0.3667 0.1279
Pd4 0.5789 0.6333 0.8721
Pd5 0.4211 0.3667 0.1279
Pd6 0.4891 0.9782 0.6327
Pd7 0.5925 0.6820 0.3931
Pd8 0.8946 0.7893 0.6910
Pd9 0.5109 0.0218 0.3673
Pd10 0.1054 0.2107 0.3090
Pd11 0.0544 0.6333 0.8721
Pd12 0.9104 0.3180 0.6069
Tb1 0.6821 0.3642 0.3738
Tb2 0.0000 0.0000 0.5000
Tb3 0.3410 0.6820 0.1291
Tb4 0.3179 0.6358 0.6262
Tb5 0.6590 0.3180 0.8709
Cd1 0.7502 0.0000 0.0000
Cd2 0.2498 0.0000 0.0000

No. 3
Computed, not measured: Tb4Cd3Pd after structural relaxation at the GGA-PBE level of DFT.

total magnetic moment	0.00	μB/f.u.
crystal system	tetragonal
total energy	-3.765	eV per atom

Cell: 3.6798 3.6798 14.9004 Å, 90.00 90.00 90.00°
Positions (direct):
Cd1 0.5000 0.5000 0.2437
Cd2 0.5000 0.5000 0.7563
Cd3 0.5000 0.5000 0.5000
Pd1 0.5000 0.5000 0.0000
Tb1 0.0000 0.0000 0.3706
Tb2 0.0000 0.0000 0.1113
Tb3 0.0000 0.0000 0.6294
Tb4 0.0000 0.0000 0.8887

No. 4
Computed, not measured: TbCd2Pd8 after structural relaxation at the GGA-PBE level of DFT.

total magnetic moment	0.00	μB/f.u.
crystal system	monoclinic
total energy	-4.836	eV per atom

Cell: 4.1590 6.4118 7.5682 Å, 104.92 105.95 90.00°
Positions (direct):
Cd1 0.2248 0.6475 0.4497
Cd2 0.7752 0.3525 0.5503
Pd1 0.0422 0.7207 0.0845
Pd2 0.9578 0.2793 0.9155
Pd3 0.4084 0.5379 0.8168
Pd4 0.1387 0.1849 0.2774
Pd5 0.6816 0.9117 0.3633
Pd6 0.3184 0.0883 0.6367
Pd7 0.5916 0.4621 0.1832
Pd8 0.8613 0.8151 0.7226
Tb1 0.5000 0.0000 0.0000

- Among the records above, which one has the highest total energy?
  Tb4Cd3Pd

What did the third record say?
Computed, not measured: Tb4Cd3Pd after structural relaxation at the GGA-PBE level of DFT.

total magnetic moment	0.00	μB/f.u.
crystal system	tetragonal
total energy	-3.765	eV per atom

Cell: 3.6798 3.6798 14.9004 Å, 90.00 90.00 90.00°
Positions (direct):
Cd1 0.5000 0.5000 0.2437
Cd2 0.5000 0.5000 0.7563
Cd3 0.5000 0.5000 0.5000
Pd1 0.5000 0.5000 0.0000
Tb1 0.0000 0.0000 0.3706
Tb2 0.0000 0.0000 0.1113
Tb3 0.0000 0.0000 0.6294
Tb4 0.0000 0.0000 0.8887

- total magnetic moment of number 3 (Tb4Cd3Pd)?
  0.00 μB/f.u.

- Which of these has the highest total energy?
  Tb4Cd3Pd